First-principles (PBE-GGA) data for TaBS2 after structural relaxation, as listed in Alexandria.

```
data_TaBS2
_chemical_formula_sum 'Ta2 B2 S4'
_space_group_name_H-M_alt 'C 2 2 2'
_space_group_IT_number 21
_space_group_name_Hall 'C 2 2'
_cell_length_a 4.040
_cell_length_b 4.591
_cell_length_c 6.275
_cell_angle_alpha 90.00
_cell_angle_beta 90.00
_cell_angle_gamma 90.00
loop_
_atom_site_label
_atom_site_fract_x
_atom_site_fract_y
_atom_site_fract_z
Ta1 0.000 0.000 0.000
B1 0.000 0.500 0.500
S1 0.250 0.250 0.691
```

Output
M_tot ... 0.0 μB per cell

First-principles (PBE-GGA) data for TaBS2 after structural relaxation, as listed in Alexandria.

```
data_TaBS2
_chemical_formula_sum 'Ta3 B3 S6'
_space_group_name_H-M_alt 'R -3 m'
_space_group_IT_number 166
_space_group_name_Hall '-R 3 2"'
_cell_length_a 3.2071
_cell_length_b 3.2071
_cell_length_c 20.6406
_cell_angle_alpha 90.00
_cell_angle_beta 90.00
_cell_angle_gamma 120.00
loop_
_atom_site_label
_atom_site_fract_x
_atom_site_fract_y
_atom_site_fract_z
Ta1 0.0000 0.0000 0.0000
B1 0.0000 0.0000 0.5000
S1 0.0000 0.0000 0.4152
```

Output
M_tot ... 0.0 μB per cell

First-principles (PBE-GGA) data for Ta2B2S7 after structural relaxation, as listed in Alexandria.

```
data_Ta2B2S7
_chemical_formula_sum 'Ta4 B4 S14'
_space_group_name_H-M_alt 'C 1 2/m 1'
_space_group_IT_number 12
_space_group_name_Hall '-C 2y'
_cell_length_a 7.690
_cell_length_b 9.687
_cell_length_c 5.630
_cell_angle_alpha 90.00
_cell_angle_beta 101.80
_cell_angle_gamma 90.00
loop_
_atom_site_label
_atom_site_fract_x
_atom_site_fract_y
_atom_site_fract_z
Ta1 0.000 0.157 0.000
B1 0.204 0.500 0.375
S1 0.000 0.500 0.500
S2 0.119 0.000 0.307
S3 0.241 0.334 0.208
```

Output
M_tot ... 0.0 μB per cell

Values of DFT total energy, in order: -55.3 -80.8 -141.8, all in eV/cell.
Values of formation energy (no corrections), in order: -221 -37 -451, all in meV/atom.
Values of D(E_F), in order: 1.2 2.1 2.4, all in states/eV per cell.